The following is a DFT calculation (meta-GGA SCAN) of a PBEsol-optimized structure of CaPb2Au.

a = 4.587 Å, b = 4.587 Å, c = 5.717 Å
α = 113.65°, β = 113.65°, γ = 90.00°
Element x y z (fractional)
Pb (0.750, 0.250, 0.500)
Pb (0.000, 0.000, 0.000)
Au (0.500, 0.500, 0.000)
Ca (0.250, 0.750, 0.500)

Mass density (g cm⁻³): 10.921
E_form (kcal/mol of atoms): -10.27
Space-group type: I-4m2 (119)
Electronic total energy (eV/atom): -58.04